1.
VASP calculation (PBE-GGA) on crystalline ScCd2Co at its relaxed geometry.

Values from the calculation:
total magnetization: 0.0 Bohr magnetons per cell
crystal system: monoclinic
energy of formation: -0.064 eV/atom

CIF file:
```
data_ScCd2Co
_chemical_formula_sum 'Sc1 Cd2 Co1'
_space_group_name_H-M_alt 'P 1 m 1'
_space_group_IT_number 6
_cell_length_a 3.439
_cell_length_b 3.431
_cell_length_c 6.835
_cell_angle_alpha 90.00
_cell_angle_beta 104.48
_cell_angle_gamma 90.00
loop_
_space_group_symop_operation_xyz
'x,y,z'
'x,-y,z'
loop_
_atom_site_label
_atom_site_fract_x
_atom_site_fract_y
_atom_site_fract_z
Sc1 0.000 0.000 0.000
Cd1 0.351 0.500 0.700
Cd2 0.712 0.000 0.420
Co1 0.556 0.500 0.112
```


2.
VASP calculation (PBE-GGA) on crystalline Sc5CdCo at its relaxed geometry.

Values from the calculation:
total magnetization: 0.0 Bohr magnetons per cell
crystal system: monoclinic
energy of formation: -0.080 eV/atom

CIF file:
```
data_Sc5CdCo
_chemical_formula_sum 'Sc20 Cd4 Co4'
_space_group_name_H-M_alt 'C 1 2/c 1'
_space_group_IT_number 15
_cell_length_a 8.164
_cell_length_b 6.903
_cell_length_c 11.146
_cell_angle_alpha 90.00
_cell_angle_beta 105.48
_cell_angle_gamma 90.00
loop_
_space_group_symop_operation_xyz
'x,y,z'
'-x,-y,-z'
'-x,y,-z+1/2'
'x,-y,z+1/2'
'x+1/2,y+1/2,z'
'-x+1/2,-y+1/2,-z'
'-x+1/2,y+1/2,-z+1/2'
'x+1/2,-y+1/2,z+1/2'
loop_
_atom_site_label
_atom_site_fract_x
_atom_site_fract_y
_atom_site_fract_z
Sc1 0.000 0.027 0.250
Sc2 0.133 0.334 0.073
Sc3 0.244 0.161 0.618
Cd1 0.000 0.388 0.750
Co1 0.000 0.000 0.000
```


3.
VASP calculation (PBE-GGA) on crystalline ScCd2Co at its relaxed geometry.

Values from the calculation:
total magnetization: 0.0 Bohr magnetons per cell
crystal system: orthorhombic
energy of formation: 0.158 eV/atom

CIF file:
```
data_ScCd2Co
_chemical_formula_sum 'Sc2 Cd4 Co2'
_space_group_name_H-M_alt 'C m m m'
_space_group_IT_number 65
_space_group_name_Hall '-C 2 2'
_cell_length_a 5.607
_cell_length_b 8.437
_cell_length_c 3.133
_cell_angle_alpha 90.00
_cell_angle_beta 90.00
_cell_angle_gamma 90.00
loop_
_atom_site_label
_atom_site_fract_x
_atom_site_fract_y
_atom_site_fract_z
Sc1 0.000 0.000 0.000
Cd1 0.250 0.250 0.500
Co1 0.000 0.500 0.000
```


4.
VASP calculation (PBE-GGA) on crystalline ScCdCo2 at its relaxed geometry.

Values from the calculation:
total magnetization: 0.4 Bohr magnetons per cell
crystal system: monoclinic
energy of formation: 0.020 eV/atom

CIF file:
```
data_ScCdCo2
_chemical_formula_sum 'Sc1 Cd1 Co2'
_space_group_name_H-M_alt 'P 1 2/m 1'
_space_group_IT_number 10
_cell_length_a 3.139
_cell_length_b 3.128
_cell_length_c 6.150
_cell_angle_alpha 90.00
_cell_angle_beta 90.08
_cell_angle_gamma 90.00
loop_
_space_group_symop_operation_xyz
'x,y,z'
'-x,-y,-z'
'-x,y,-z'
'x,-y,z'
loop_
_atom_site_label
_atom_site_fract_x
_atom_site_fract_y
_atom_site_fract_z
Sc1 0.000 0.000 0.000
Cd1 0.000 0.000 0.500
Co1 0.500 0.500 0.240
```


5.
VASP calculation (PBE-GGA) on crystalline Sc4CdCo at its relaxed geometry.

Values from the calculation:
total magnetization: 0.0 Bohr magnetons per cell
crystal system: cubic
energy of formation: -0.265 eV/atom

CIF file:
```
data_Sc4CdCo
_chemical_formula_sum 'Sc64 Cd16 Co16'
_space_group_name_H-M_alt 'F -4 3 m'
_space_group_IT_number 216
_space_group_name_Hall 'F -4 2 3'
_cell_length_a 12.572
_cell_length_b 12.572
_cell_length_c 12.572
_cell_angle_alpha 90.00
_cell_angle_beta 90.00
_cell_angle_gamma 90.00
loop_
_atom_site_label
_atom_site_fract_x
_atom_site_fract_y
_atom_site_fract_z
Sc1 0.000 0.000 0.188
Sc2 0.061 0.250 0.250
Sc3 0.153 0.153 0.653
Cd1 0.083 0.083 0.417
Co1 0.141 0.141 0.859
```


6.
VASP calculation (PBE-GGA) on crystalline Sc8Cd2Co at its relaxed geometry.

Values from the calculation:
total magnetization: 0.0 Bohr magnetons per cell
crystal system: monoclinic
energy of formation: -0.120 eV/atom

CIF file:
```
data_Sc8Cd2Co
_chemical_formula_sum 'Sc16 Cd4 Co2'
_space_group_name_H-M_alt 'C 1 m 1'
_space_group_IT_number 8
_cell_length_a 7.037
_cell_length_b 14.778
_cell_length_c 5.720
_cell_angle_alpha 90.00
_cell_angle_beta 122.65
_cell_angle_gamma 90.00
loop_
_space_group_symop_operation_xyz
'x,y,z'
'x,-y,z'
'x+1/2,y+1/2,z'
'x+1/2,-y+1/2,z'
loop_
_atom_site_label
_atom_site_fract_x
_atom_site_fract_y
_atom_site_fract_z
Sc1 0.000 0.000 0.000
Sc2 0.015 0.393 0.899
Sc3 0.047 0.500 0.403
Sc4 0.266 0.192 0.237
Sc5 0.485 0.393 0.501
Cd1 0.272 0.288 0.736
Co1 0.261 0.000 0.503
```


7.
VASP calculation (PBE-GGA) on crystalline ScCd3Co at its relaxed geometry.

Values from the calculation:
total magnetization: 0.0 Bohr magnetons per cell
crystal system: cubic
energy of formation: 0.357 eV/atom

CIF file:
```
data_ScCd3Co
_chemical_formula_sum 'Sc1 Cd3 Co1'
_space_group_name_H-M_alt 'P m -3 m'
_space_group_IT_number 221
_space_group_name_Hall '-P 4 2 3'
_cell_length_a 4.864
_cell_length_b 4.864
_cell_length_c 4.864
_cell_angle_alpha 90.00
_cell_angle_beta 90.00
_cell_angle_gamma 90.00
loop_
_atom_site_label
_atom_site_fract_x
_atom_site_fract_y
_atom_site_fract_z
Sc1 0.000 0.000 0.000
Cd1 0.000 0.500 0.500
Co1 0.500 0.500 0.500
```


8.
VASP calculation (PBE-GGA) on crystalline Sc4CdCo at its relaxed geometry.

Values from the calculation:
total magnetization: 8.0 Bohr magnetons per cell
crystal system: cubic
energy of formation: 0.470 eV/atom

CIF file:
```
data_Sc4CdCo
_chemical_formula_sum 'Sc16 Cd4 Co4'
_space_group_name_H-M_alt 'F -4 3 m'
_space_group_IT_number 216
_space_group_name_Hall 'F -4 2 3'
_cell_length_a 8.015
_cell_length_b 8.015
_cell_length_c 8.015
_cell_angle_alpha 90.00
_cell_angle_beta 90.00
_cell_angle_gamma 90.00
loop_
_atom_site_label
_atom_site_fract_x
_atom_site_fract_y
_atom_site_fract_z
Sc1 0.124 0.124 0.376
Cd1 0.000 0.000 0.000
Co1 0.250 0.250 0.750
```


9.
VASP calculation (PBE-GGA) on crystalline SmScCdCo at its relaxed geometry.

Values from the calculation:
total magnetization: 1.7 Bohr magnetons per cell
crystal system: cubic
energy of formation: -0.101 eV/atom

CIF file:
```
data_SmScCdCo
_chemical_formula_sum 'Sm4 Sc4 Cd4 Co4'
_space_group_name_H-M_alt 'F -4 3 m'
_space_group_IT_number 216
_space_group_name_Hall 'F -4 2 3'
_cell_length_a 7.005
_cell_length_b 7.005
_cell_length_c 7.005
_cell_angle_alpha 90.00
_cell_angle_beta 90.00
_cell_angle_gamma 90.00
loop_
_atom_site_label
_atom_site_fract_x
_atom_site_fract_y
_atom_site_fract_z
Sm1 0.000 0.000 0.000
Sc1 0.000 0.000 0.500
Cd1 0.250 0.250 0.750
Co1 0.250 0.250 0.250
```


10.
VASP calculation (PBE-GGA) on crystalline ScTiCdCo2 at its relaxed geometry.

Values from the calculation:
total magnetization: 0.0 Bohr magnetons per cell
crystal system: tetragonal
energy of formation: 1.092 eV/atom

CIF file:
```
data_ScTiCdCo2
_chemical_formula_sum 'Sc1 Ti1 Cd1 Co2'
_space_group_name_H-M_alt 'P 4/m m m'
_space_group_IT_number 123
_space_group_name_Hall '-P 4 2'
_cell_length_a 4.311
_cell_length_b 4.311
_cell_length_c 5.092
_cell_angle_alpha 90.00
_cell_angle_beta 90.00
_cell_angle_gamma 90.00
loop_
_atom_site_label
_atom_site_fract_x
_atom_site_fract_y
_atom_site_fract_z
Sc1 0.000 0.000 0.000
Ti1 0.500 0.500 0.500
Cd1 0.000 0.000 0.500
Co1 0.000 0.500 0.000
```


11.
VASP calculation (PBE-GGA) on crystalline Sc2TlCdCo at its relaxed geometry.

Values from the calculation:
total magnetization: 0.0 Bohr magnetons per cell
crystal system: tetragonal
energy of formation: -0.060 eV/atom

CIF file:
```
data_Sc2TlCdCo
_chemical_formula_sum 'Sc2 Tl1 Cd1 Co1'
_space_group_name_H-M_alt 'P 4/m m m'
_space_group_IT_number 123
_space_group_name_Hall '-P 4 2'
_cell_length_a 4.754
_cell_length_b 4.754
_cell_length_c 4.996
_cell_angle_alpha 90.00
_cell_angle_beta 90.00
_cell_angle_gamma 90.00
loop_
_atom_site_label
_atom_site_fract_x
_atom_site_fract_y
_atom_site_fract_z
Sc1 0.000 0.500 0.000
Tl1 0.000 0.000 0.500
Cd1 0.500 0.500 0.500
Co1 0.500 0.500 0.000
```


12.
VASP calculation (PBE-GGA) on crystalline YScCdCo at its relaxed geometry.

Values from the calculation:
total magnetization: 1.9 Bohr magnetons per cell
crystal system: cubic
energy of formation: -0.150 eV/atom

CIF file:
```
data_YScCdCo
_chemical_formula_sum 'Y4 Sc4 Cd4 Co4'
_space_group_name_H-M_alt 'F -4 3 m'
_space_group_IT_number 216
_space_group_name_Hall 'F -4 2 3'
_cell_length_a 6.926
_cell_length_b 6.926
_cell_length_c 6.926
_cell_angle_alpha 90.00
_cell_angle_beta 90.00
_cell_angle_gamma 90.00
loop_
_atom_site_label
_atom_site_fract_x
_atom_site_fract_y
_atom_site_fract_z
Y1 0.000 0.000 0.000
Sc1 0.000 0.000 0.500
Cd1 0.250 0.250 0.250
Co1 0.250 0.250 0.750
```